Computed, not measured: a geometry-optimized ScInN structure at the PBE level of DFT.

Unit cell a=3.374 b=5.105 c=13.625 alpha=90.00 beta=90.00 gamma=90.00
Element x y z (fractional)
In (0.750, 0.681, 0.430)
In (0.250, 0.319, 0.570)
In (0.750, 0.819, 0.930)
In (0.250, 0.181, 0.070)
Sc (0.250, 0.336, 0.812)
Sc (0.750, 0.664, 0.188)
Sc (0.250, 0.164, 0.312)
Sc (0.750, 0.836, 0.688)
N (0.750, 0.395, 0.301)
N (0.750, 0.105, 0.801)
N (0.250, 0.895, 0.199)
N (0.250, 0.605, 0.699)

Results
Energy relative to the elements, uncorrected (meV/atom): -813
Volume (Å³ per atom): 19.6


Computed, not measured: a geometry-optimized BaAg3Cl structure at the PBE level of DFT.

Unit cell a=5.338 b=5.338 c=5.338 alpha=90.00 beta=90.00 gamma=90.00
Element x y z (fractional)
Cl (0.000, 0.000, 0.000)
Ag (0.000, 0.500, 0.000)
Ag (0.500, 0.000, 0.000)
Ag (0.000, 0.000, 0.500)
Ba (0.500, 0.500, 0.500)

Results
Energy relative to the elements, uncorrected (meV/atom): 215
Volume (Å³ per atom): 30.4
Relative energy among the computed polymorphs (eV/atom): 0.0000


Computed, not measured: a geometry-optimized ZrTl2Cl structure at the PBE level of DFT.

Unit cell a=6.049 b=6.049 c=6.049 alpha=138.54 beta=138.54 gamma=60.08
Element x y z (fractional)
Cl (0.750, 0.250, 0.500)
Zr (0.250, 0.750, 0.500)
Tl (0.500, 0.500, 0.000)
Tl (0.000, 0.000, 0.000)

Results
Energy relative to the elements, uncorrected (meV/atom): 23
Volume (Å³ per atom): 24.0
Relative energy among the computed polymorphs (eV/atom): 0.5663


Computed, not measured: a geometry-optimized SrHo2TlO6 structure at the PBE level of DFT.

Unit cell a=5.899 b=5.899 c=6.210 alpha=61.64 beta=61.64 gamma=60.00
Each line ends with the local moment (μB).
Element x y z (fractional)
O (0.909, 0.623, 0.236)  0.09
O (0.725, 0.170, 0.741)  0.22
O (0.170, 0.364, 0.741)  0.22
O (0.623, 0.232, 0.236)  0.09
O (0.364, 0.725, 0.741)  0.22
O (0.232, 0.909, 0.236)  0.09
Ho (0.523, 0.523, 0.432)  -0.01
Ho (0.015, 0.015, 0.955)  0.00
Tl (0.307, 0.307, 0.078)  0.00
Sr (0.794, 0.794, 0.619)  0.00

Results
Energy relative to the elements, uncorrected (meV/atom): -2411
Volume (Å³ per atom): 15.6


Computed, not measured: a geometry-optimized Co2AuCl structure at the PBE level of DFT.

Unit cell a=2.810 b=5.760 c=4.203 alpha=90.00 beta=90.00 gamma=90.00
Each line ends with the local moment (μB).
Element x y z (fractional)
Au (0.500, 0.000, 0.500)  0.05
Co (0.000, 0.000, 0.000)  1.88
Co (0.500, 0.500, 0.000)  1.99
Cl (0.000, 0.500, 0.500)  0.08

Results
Energy relative to the elements, uncorrected (meV/atom): 705
Volume (Å³ per atom): 17.0
Relative energy among the computed polymorphs (eV/atom): 0.5155


Computed, not measured: a geometry-optimized TcTePb2 structure at the PBE level of DFT.

Unit cell a=5.972 b=5.972 c=5.972 alpha=134.87 beta=134.87 gamma=65.73
Each line ends with the local moment (μB).
Element x y z (fractional)
Pb (0.250, 0.750, 0.500)  -0.04
Pb (0.000, 0.000, 0.000)  -0.03
Te (0.750, 0.250, 0.500)  0.03
Tc (0.500, 0.500, 0.000)  2.56

Results
Energy relative to the elements, uncorrected (meV/atom): 686
Volume (Å³ per atom): 26.3


Summary of uncorrected energy in Ry per atom
-0.48597; -0.16534; -0.27626; -0.49289; -0.30346; -0.33402
(order as listed above)